# 1
Compound: Ca3In2Hg3
Source: Alexandria via LeMat-Bulk
Functional: PBE-GGA
Structure: optimized geometry

POSCAR file:
```
Ca3In2Hg3
1.0
4.763 0.000 0.000
-2.382 5.992 0.000
0.000 0.000 15.603
Ca In Hg
6 4 6
Cartesian
2.382 5.110 6.106
2.382 5.110 1.696
0.000 0.882 13.908
0.000 0.882 9.497
0.000 4.248 11.703
2.382 1.744 3.901
2.382 3.373 9.380
2.382 3.373 14.025
0.000 2.619 6.223
0.000 2.619 1.579
2.382 1.304 7.134
0.000 4.517 3.901
2.382 1.475 11.703
0.000 4.688 14.936
2.382 1.304 0.667
0.000 4.688 8.469
```

Output
Energy of formation = -3.55 eV/f.u.
Size of the total moment = 0.0 μB per formula unit
Calculated volume = 445.3 Å³/cell
Final energy = -1.99 eV/atom

---

# 2
Compound: CaIn4Hg2
Source: Alexandria via LeMat-Bulk
Functional: PBE-GGA
Structure: optimized geometry

POSCAR file:
```
CaIn4Hg2
1.0
-3.132 -2.075 -2.540
-0.363 -3.354 3.189
-6.434 6.445 2.667
In Ca Hg
4 1 2
Cartesian
-2.666 0.114 3.195
-3.971 0.696 0.280
-4.131 2.977 2.661
-5.957 0.320 3.037
0.000 0.000 0.000
-7.168 3.001 2.339
-2.761 -1.985 0.977
```

Output
Energy of formation = -0.98 eV/f.u.
Size of the total moment = 0.0 μB per formula unit
ΔE to the lowest computed polymorph = 0.049 eV per atom
Calculated volume = 193.7 Å³/cell
Final energy = -2.08 eV/atom

---

# 3
Compound: Ca2InHg3
Source: Alexandria via LeMat-Bulk
Functional: PBE-GGA
Structure: optimized geometry

POSCAR file:
```
Ca2InHg3
1.0
-6.134 -0.478 0.520
1.695 -2.521 -5.375
3.148 -6.184 6.324
Ca Hg In
4 6 2
Cartesian
-2.602 -4.081 2.208
-1.090 -0.736 -1.192
1.312 -5.102 -0.739
-3.349 -2.263 -3.663
-1.601 -6.612 0.165
-0.117 -3.291 -3.243
-4.011 -2.275 -0.311
0.311 -2.571 1.304
2.721 -6.908 1.780
-1.173 -5.892 4.712
-1.909 -4.061 -1.129
0.619 -5.122 2.598
```

Output
Energy of formation = -2.70 eV/f.u.
Size of the total moment = 0.0 μB per formula unit
ΔE to the lowest computed polymorph = 0.000 eV per atom
Calculated volume = 313.6 Å³/cell
Final energy = -1.72 eV/atom

---

# 4
Compound: CaIn3Hg
Source: Alexandria via LeMat-Bulk
Functional: PBE-GGA
Structure: optimized geometry

POSCAR file:
```
CaIn3Hg
1.0
6.030 0.000 0.000
0.000 6.030 0.000
0.000 0.000 6.030
Hg In Ca
1 3 1
Cartesian
3.015 3.015 3.015
0.000 3.015 0.000
3.015 0.000 0.000
0.000 0.000 3.015
0.000 0.000 0.000
```

Output
Energy of formation = 2.62 eV/f.u.
Size of the total moment = 0.0 μB per formula unit
ΔE to the lowest computed polymorph = 0.769 eV per atom
Calculated volume = 219.3 Å³/cell
Final energy = -1.58 eV/atom

---

# 5
Compound: Ca2In5Hg12
Source: Alexandria via LeMat-Bulk
Functional: PBE-GGA
Structure: optimized geometry

POSCAR file:
```
Ca2In5Hg12
1.0
10.174 0.000 0.000
-5.087 7.787 0.830
0.000 -1.722 6.113
Hg In Ca
12 5 2
Cartesian
5.087 0.358 1.731
2.645 0.592 3.708
2.918 2.845 1.545
2.442 5.474 3.235
0.000 0.575 5.994
-2.442 5.474 3.235
7.256 2.845 1.545
2.169 3.221 5.398
-2.169 3.221 5.398
7.530 0.592 3.708
0.000 5.708 5.212
5.087 5.491 0.949
0.000 -0.861 3.057
0.000 5.170 1.476
0.000 2.416 3.086
5.087 0.895 5.468
5.087 3.649 3.858
7.925 0.000 0.000
2.249 0.000 0.000
```

Output
Energy of formation = -2.58 eV/f.u.
Size of the total moment = 0.0 μB per formula unit
ΔE to the lowest computed polymorph = 0.006 eV per atom
Calculated volume = 498.9 Å³/cell
Final energy = -1.26 eV/atom

---

# 6
Compound: Ca3InHg8
Source: Alexandria via LeMat-Bulk
Functional: PBE-GGA
Structure: optimized geometry

POSCAR file:
```
Ca3InHg8
1.0
9.910 0.000 0.878
-5.199 5.632 2.310
-0.489 0.000 5.497
Hg Ca In
8 3 1
Cartesian
6.646 0.000 0.595
-2.160 2.853 5.345
6.383 2.779 3.332
7.976 0.000 3.483
3.264 0.000 0.291
1.445 0.000 2.902
1.184 2.853 5.641
3.039 2.779 3.035
-0.244 2.742 2.745
4.467 2.890 5.933
4.710 0.000 3.190
0.000 0.000 0.004
```

Output
Energy of formation = -4.24 eV/f.u.
Size of the total moment = 0.0 μB per formula unit
Calculated volume = 309.2 Å³/cell
Final energy = -1.28 eV/atom

---

# 7
Compound: Ca2In5Hg12
Source: Alexandria via LeMat-Bulk
Functional: PBE-GGA
Structure: optimized geometry

POSCAR file:
```
Ca2In5Hg12
1.0
-2.909 2.589 3.732
-9.281 -4.713 -0.855
-2.268 -7.699 6.683
Hg In Ca
12 5 2
Cartesian
-10.043 -5.676 3.060
-4.415 -4.146 6.499
-12.190 -5.763 5.218
-8.126 -2.566 2.509
-6.051 -4.736 3.754
-5.800 -2.555 0.544
-6.331 -7.257 7.050
-8.406 -5.086 5.805
-2.267 -4.060 4.341
-8.658 -7.267 9.015
-10.502 -10.971 5.425
-3.955 1.149 4.135
-10.313 -8.020 6.417
-1.454 1.295 1.866
-7.847 -7.722 4.241
-6.611 -2.101 5.318
-4.145 -1.802 3.142
-6.899 -4.376 8.563
-7.558 -5.446 0.996
```

Output
Energy of formation = -2.69 eV/f.u.
Size of the total moment = 0.0 μB per formula unit
ΔE to the lowest computed polymorph = 0.000 eV per atom
Calculated volume = 503.1 Å³/cell
Final energy = -1.26 eV/atom

---

# 8
Compound: Ca2In3Hg7
Source: Alexandria via LeMat-Bulk
Functional: PBE-GGA
Structure: optimized geometry

POSCAR file:
```
Ca2In3Hg7
1.0
4.291 0.000 0.000
0.000 4.603 -0.636
0.000 -4.678 17.846
Ca Hg In
2 7 3
Cartesian
2.145 -2.996 12.729
2.145 2.922 4.481
2.145 0.920 7.004
0.000 -2.681 15.050
0.000 0.000 0.000
2.145 -0.396 14.602
2.145 -0.994 10.206
0.000 2.606 2.159
2.145 0.321 2.608
0.000 -1.338 7.664
0.000 1.264 9.546
2.145 2.302 -0.318
```

Output
Energy of formation = -2.16 eV/f.u.
Size of the total moment = 0.0 μB per formula unit
Calculated volume = 339.7 Å³/cell
Final energy = -1.37 eV/atom

---

# 9
Compound: CaInHg4
Source: Alexandria via LeMat-Bulk
Functional: PBE-GGA
Structure: optimized geometry

POSCAR file:
```
CaInHg4
1.0
4.576 -0.383 2.585
0.545 5.243 0.307
-0.348 -0.197 6.159
Hg In Ca
4 1 1
Cartesian
3.525 -0.478 7.291
1.248 5.142 1.759
3.303 2.344 2.822
1.470 2.320 6.228
2.114 -0.290 4.372
0.098 2.523 3.233
```

Output
Energy of formation = -1.49 eV/f.u.
Size of the total moment = 0.0 μB per formula unit
ΔE to the lowest computed polymorph = 0.000 eV per atom
Calculated volume = 153.8 Å³/cell
Final energy = -1.24 eV/atom

---

# 10
Compound: Ca4In2Hg
Source: Alexandria via LeMat-Bulk
Functional: PBE-GGA
Structure: optimized geometry

POSCAR file:
```
Ca4In2Hg
1.0
-5.271 1.288 -2.115
1.718 -1.678 -5.305
-4.148 -7.411 -2.195
In Ca Hg
2 4 1
Cartesian
-2.262 -1.673 -3.400
-5.439 -6.129 -6.216
0.859 -0.839 -2.653
-2.636 0.644 -1.057
-3.222 -4.596 -2.786
-4.478 -3.206 -6.829
0.000 0.000 0.000
```

Output
Energy of formation = -1.08 eV/f.u.
Size of the total moment = 0.0 μB per formula unit
ΔE to the lowest computed polymorph = 0.231 eV per atom
Calculated volume = 262.7 Å³/cell
Final energy = -2.12 eV/atom

---

# 11
Compound: CaIn3Hg3
Source: Alexandria via LeMat-Bulk
Functional: PBE-GGA
Structure: optimized geometry

POSCAR file:
```
CaIn3Hg3
1.0
-4.571 -5.550 -3.393
6.111 -2.244 -4.563
2.228 -5.232 5.556
In Ca Hg
6 2 6
Cartesian
-1.729 -4.083 -0.308
1.913 -2.509 -3.130
-0.615 -6.699 2.470
-0.373 -5.284 -4.826
5.697 -4.299 -0.645
2.642 -3.177 1.637
1.884 -6.513 -1.200
0.000 0.000 0.000
-0.029 -4.003 1.930
-2.314 -6.778 0.233
3.613 -2.430 -0.893
2.298 -4.457 -5.119
-0.758 -3.336 -2.837
4.727 -5.046 1.885
```

Output
Energy of formation = 1.11 eV/f.u.
Size of the total moment = 0.0 μB per formula unit
ΔE to the lowest computed polymorph = 0.340 eV per atom
Calculated volume = 502.5 Å³/cell
Final energy = -1.43 eV/atom

---

# 12
Compound: Ca4InHg5
Source: Alexandria via LeMat-Bulk
Functional: PBE-GGA
Structure: optimized geometry

POSCAR file:
```
Ca4InHg5
1.0
3.790 0.000 0.000
0.000 3.790 0.000
0.000 0.000 18.532
Ca Hg In
4 5 1
Cartesian
0.000 0.000 11.165
0.000 0.000 14.953
0.000 0.000 3.579
0.000 0.000 7.368
1.895 1.895 5.469
1.895 1.895 1.773
1.895 1.895 9.266
1.895 1.895 13.063
1.895 1.895 16.759
0.000 0.000 0.000
```

Output
Energy of formation = -4.72 eV/f.u.
Size of the total moment = 0.0 μB per formula unit
Calculated volume = 266.1 Å³/cell
Final energy = -1.70 eV/atom

---

# 13
Compound: Ca3InHg12
Source: Alexandria via LeMat-Bulk
Functional: PBE-GGA
Structure: optimized geometry

POSCAR file:
```
Ca3InHg12
1.0
4.752 0.000 0.000
0.000 4.752 0.000
0.000 0.000 18.312
Hg Ca In
12 3 1
Cartesian
2.376 2.376 13.747
2.376 0.000 6.837
0.000 2.376 11.475
0.000 2.376 16.073
2.376 0.000 11.475
2.376 2.376 9.156
0.000 2.376 6.837
0.000 2.376 2.239
2.376 2.376 4.566
2.376 0.000 2.239
2.376 2.376 0.000
2.376 0.000 16.073
0.000 0.000 4.482
0.000 0.000 9.156
0.000 0.000 13.831
0.000 0.000 0.000
```

Output
Energy of formation = -4.61 eV/f.u.
Size of the total moment = 0.0 μB per formula unit
Calculated volume = 413.4 Å³/cell
Final energy = -1.06 eV/atom

---

# 14
Compound: Ca3In12Hg
Source: Alexandria via LeMat-Bulk
Functional: PBE-GGA
Structure: optimized geometry

POSCAR file:
```
Ca3In12Hg
1.0
-3.817 0.813 2.635
-2.627 -2.439 -3.053
3.392 -15.962 9.836
In Hg Ca
12 1 3
Cartesian
1.059 -13.560 9.924
0.804 -11.185 4.614
-1.526 -8.794 4.709
-0.889 -3.215 -0.297
-0.634 -5.590 5.013
0.209 -9.558 7.458
-3.222 -0.813 -0.209
-1.484 -1.589 2.547
-0.039 -7.216 2.169
-0.704 -12.664 7.094
-2.348 -4.924 2.324
1.654 -15.186 7.080
0.000 0.000 0.000
1.696 -7.981 4.918
0.854 -4.020 2.477
2.538 -11.942 7.359
```

Output
Energy of formation = -3.58 eV/f.u.
Size of the total moment = 0.0 μB per formula unit
Calculated volume = 422.4 Å³/cell
Final energy = -2.67 eV/atom

---

# 15
Compound: CaIn4Hg5
Source: Alexandria via LeMat-Bulk
Functional: PBE-GGA
Structure: optimized geometry

POSCAR file:
```
CaIn4Hg5
1.0
-0.256 -3.375 -1.897
3.485 -1.029 1.362
-7.584 -7.252 13.925
Ca In Hg
1 4 5
Cartesian
0.000 0.000 0.000
-6.059 -5.794 11.125
-4.553 -4.353 8.359
-3.031 -2.899 5.566
-1.525 -1.458 2.800
-5.203 -8.721 12.249
0.847 -2.936 1.141
-2.178 -5.828 6.695
-0.644 -4.362 3.880
-3.711 -7.294 9.510
```

Output
Energy of formation = -1.26 eV/f.u.
Size of the total moment = 0.0 μB per formula unit
ΔE to the lowest computed polymorph = 0.000 eV per atom
Calculated volume = 262.5 Å³/cell
Final energy = -1.57 eV/atom

---

# 16
Compound: CaIn3Hg2
Source: Alexandria via LeMat-Bulk
Functional: PBE-GGA
Structure: optimized geometry

POSCAR file:
```
CaIn3Hg2
1.0
-2.991 -2.491 2.921
-1.464 -3.613 -8.635
6.442 -2.823 4.188
Hg Ca In
4 2 6
Cartesian
-2.013 -4.185 -1.577
4.000 -4.743 0.050
2.355 -7.023 -3.579
-0.368 -1.905 2.053
2.258 -7.546 -0.071
-0.271 -1.382 -1.456
-0.416 -7.088 -2.417
2.403 -1.840 0.891
1.780 -4.509 -2.024
-0.474 -4.387 -4.227
2.461 -4.541 2.701
0.207 -4.418 0.498
```

Output
Energy of formation = -1.30 eV/f.u.
Size of the total moment = 0.0 μB per formula unit
Calculated volume = 321.5 Å³/cell
Final energy = -2.02 eV/atom

---

# 17
Compound: Ca5In2Hg
Source: Alexandria via LeMat-Bulk
Functional: PBE-GGA
Structure: optimized geometry

POSCAR file:
```
Ca5In2Hg
1.0
5.429 0.000 0.000
0.000 6.934 0.000
0.000 0.000 13.056
Hg In Ca
2 4 10
Cartesian
0.000 0.000 6.528
0.000 3.467 0.000
2.714 4.398 8.248
2.714 0.931 11.336
2.714 2.536 4.808
2.714 6.003 1.720
2.714 5.841 5.099
0.000 0.000 0.000
2.714 1.093 7.957
2.714 4.560 11.627
0.000 0.955 3.581
0.000 5.978 9.475
0.000 4.422 2.947
0.000 3.467 6.528
0.000 2.512 10.109
2.714 2.374 1.429
```

Output
Energy of formation = -3.26 eV/f.u.
Size of the total moment = 0.0 μB per formula unit
Calculated volume = 491.5 Å³/cell
Final energy = -2.38 eV/atom

---

# 18
Compound: Ca2InHg3
Source: Alexandria via LeMat-Bulk
Functional: PBE-GGA
Structure: optimized geometry

POSCAR file:
```
Ca2InHg3
1.0
-0.481 3.508 -1.986
1.752 -1.870 -3.728
-9.193 -3.506 0.182
Ca Hg In
2 3 1
Cartesian
-2.080 -0.653 -0.650
-6.613 -0.247 -2.985
-0.137 0.576 -3.099
-2.759 -0.247 -3.918
-4.334 -2.571 -3.492
-6.965 -3.397 -4.315
```

Output
Energy of formation = -2.07 eV/f.u.
Size of the total moment = 0.0 μB per formula unit
ΔE to the lowest computed polymorph = 0.105 eV per atom
Calculated volume = 171.9 Å³/cell
Final energy = -1.62 eV/atom

---

# 19
Compound: Ca4In5Hg2
Source: Alexandria via LeMat-Bulk
Functional: PBE-GGA
Structure: optimized geometry

POSCAR file:
```
Ca4In5Hg2
1.0
-0.273 2.272 -2.884
-5.149 -5.029 -3.474
-7.303 5.399 4.943
Ca In Hg
4 5 2
Cartesian
-4.731 2.165 -0.197
-7.465 5.032 2.319
-5.259 -2.390 -3.734
-7.994 0.476 -1.219
-5.030 -1.178 -0.452
-10.335 0.471 1.349
-2.117 -0.102 0.120
-2.574 -2.515 -1.737
-7.421 1.548 1.921
-4.990 3.122 2.931
-7.462 -2.753 -1.462
```

Output
Energy of formation = -4.39 eV/f.u.
Size of the total moment = 0.0 μB per formula unit
Calculated volume = 303.2 Å³/cell
Final energy = -2.43 eV/atom

---

# 20
Compound: Ca3In5Hg2
Source: Alexandria via LeMat-Bulk
Functional: PBE-GGA
Structure: optimized geometry

POSCAR file:
```
Ca3In5Hg2
1.0
6.608 0.000 0.000
3.304 9.281 -1.356
3.304 1.155 9.308
Hg In Ca
4 10 6
Cartesian
9.913 3.575 8.558
6.608 1.236 6.776
3.304 6.861 -0.606
6.608 9.199 1.176
6.608 2.676 4.376
4.956 2.512 1.914
3.304 4.930 1.419
8.260 7.924 6.038
9.913 5.506 6.533
6.608 7.760 3.575
1.652 2.512 1.914
8.260 5.218 3.976
4.956 5.218 3.976
11.565 7.924 6.038
6.608 4.589 7.496
4.956 0.000 0.000
1.652 0.000 0.000
6.608 5.847 0.456
9.913 8.445 2.435
3.304 1.991 5.516
```

Output
Energy of formation = -2.51 eV/f.u.
Size of the total moment = 0.0 μB per formula unit
Calculated volume = 581.2 Å³/cell
Final energy = -2.28 eV/atom